Entry 1:
Nd6Sm3Y2Ho after structural relaxation. Source: Alexandria, functional PBE.

Cell: 6.316 10.938 11.985 Å, 90.00 100.08 90.00°
Space group C2/m (No. 12)
Symmetry-distinct sites (fractional):
Nd1 0.249 0.000 0.252
Nd2 0.249 0.166 0.748
Sm1 0.000 0.167 0.000
Sm2 0.000 0.500 0.000
Y1 0.000 0.333 0.500
Ho1 0.000 0.000 0.500

Properties
Magnetic moment: 0.000 μB/cell
ΔH_f (0 K): 0.011 eV per atom
Electronic total energy: -120.27 eV for the cell shown

Entry 2:
Pr2TmAg5 after structural relaxation. Source: Alexandria, functional PBE.

Cell: 5.134 5.134 14.469 Å, 90.00 90.00 90.00°
Space group I4/mmm (No. 139)
Symmetry-distinct sites (fractional):
Pr1 0.000 0.000 0.230
Tm1 0.000 0.000 0.500
Ag1 0.000 0.000 0.000
Ag2 0.000 0.500 0.109

Properties
Magnetic moment: 0.000 μB/cell
ΔH_f (0 K): -0.198 eV per atom
Electronic total energy: -59.74 eV for the cell shown

Entry 3:
Fe6Pt5Rh2 after structural relaxation. Source: Alexandria, functional PBE.

Cell: 8.987 15.225 2.735 Å, 90.00 90.00 90.00°
Space group Pbam (No. 55)
Symmetry-distinct sites (fractional):
Fe1 0.054 0.074 0.000
Fe2 0.076 0.365 0.000
Fe3 0.198 0.620 0.500
Pt1 0.000 0.500 0.500
Pt2 0.075 0.221 0.500
Pt3 0.200 0.948 0.500
Rh1 0.179 0.774 0.000

Properties
Magnetic moment: 41.237 μB/cell
ΔH_f (0 K): -0.042 eV per atom
Electronic total energy: -192.45 eV for the cell shown

Entry 4:
La2Ho7Tm after structural relaxation. Source: Alexandria, functional PBE.

Cell: 6.663 27.556 3.525 Å, 90.00 90.00 90.00°
Space group Cmmm (No. 65)
Symmetry-distinct sites (fractional):
La1 0.000 0.205 0.000
Ho1 0.000 0.000 0.000
Ho2 0.000 0.315 0.500
Ho3 0.241 0.404 0.000
Tm1 0.000 0.500 0.500

Properties
Magnetic moment: 0.000 μB/cell
ΔH_f (0 K): 0.170 eV per atom
Electronic total energy: -89.34 eV for the cell shown

Entry 5:
BeCrCuRu2 after structural relaxation. Source: Alexandria, functional PBE.

Cell: 4.346 4.346 4.401 Å, 90.00 90.00 90.00°
Space group P4/mmm (No. 123)
Symmetry-distinct sites (fractional):
Be1 0.000 0.000 0.000
Cr1 0.500 0.500 0.500
Cu1 0.500 0.500 0.000
Ru1 0.000 0.500 0.500

Properties
Magnetic moment: 0.000 μB/cell
ΔH_f (0 K): 1.404 eV per atom
Electronic total energy: -28.98 eV for the cell shown

Entry 6:
AcReN6 after structural relaxation. Source: Alexandria, functional PBE.

Cell: 7.1987 7.1987 7.1578 Å, 90.00 90.00 120.00°
Space group R-3m (No. 166, hexagonal axes)
Symmetry-distinct sites (fractional):
Ac1 0.0000 0.0000 0.0000
Re1 0.0000 0.0000 0.5000
N1 0.0772 0.5386 0.3239

Properties
Magnetic moment: 0.953 μB/cell
Raw formation energy: 1.27 eV/atom
Electronic total energy: -169.00 eV for the cell shown